Entry from the Open Quantum Materials Database: a relaxed TlZnFeAu crystal (GGA-PBE).

The value obtained for the energy is -55.67 eV/cell.

The space group is F-43m (No. 216) and the conventional cell measures 6.554, 6.554 and 6.554 Å, with angles of 90.00, 90.00 and 90.00 degrees. Symmetry generates all atoms from Tl at (0.000, 0.000, 0.000), Zn at (0.250, 0.250, 0.750), Fe at (0.250, 0.250, 0.250) and Au at (0.000, 0.000, 0.500).